## Sm2ErCdHg4 (GGA-PBE)

Data for a relaxed structure of Sm2ErCdHg4.

- SG = No. 166

Lattice parameters (Å, degrees): 5.189 5.189 9.230 73.68 73.68 60.00
Positions (direct):
Sm1 0.758 0.758 0.727
Sm2 0.242 0.242 0.273
Er1 0.000 0.000 0.000
Cd1 0.500 0.500 0.500
Hg1 0.368 0.368 0.897
Hg2 0.879 0.879 0.364
Hg3 0.121 0.121 0.636
Hg4 0.632 0.632 0.103


## NdPuPdRu (GGA-PBE)

Data for a relaxed structure of NdPuPdRu.

- SG = No. 216

Lattice parameters (Å, degrees): 4.957 4.957 4.957 60.00 60.00 60.00
Positions (direct):
Ru1 0.750 0.750 0.750
Nd1 0.000 0.000 0.000
Pd1 0.250 0.250 0.250
Pu1 0.500 0.500 0.500


## Cs3K8Pt (GGA-PBE)

Data for a relaxed structure of Cs3K8Pt.

- SG = No. 186

Lattice parameters (Å, degrees): 9.443 14.411 14.411 120.00 90.00 90.00
Positions (direct):
Cs1 0.760 0.686 0.843
Cs2 0.760 0.157 0.314
Cs3 0.760 0.157 0.843
Cs4 0.260 0.314 0.157
Cs5 0.260 0.843 0.686
Cs6 0.260 0.843 0.157
K1 0.985 0.064 0.532
K2 0.985 0.468 0.936
K3 0.985 0.468 0.532
K4 0.485 0.936 0.468
K5 0.485 0.532 0.064
K6 0.485 0.532 0.468
K7 0.768 0.468 0.234
K8 0.768 0.766 0.532
K9 0.768 0.766 0.234
K10 0.268 0.532 0.766
K11 0.268 0.234 0.468
K12 0.268 0.234 0.766
K13 0.692 0.333 0.667
K14 0.192 0.667 0.333
K15 0.010 0.000 0.000
K16 0.510 0.000 0.000
Pt1 0.031 0.333 0.667
Pt2 0.531 0.667 0.333


## AcCd8Rh4 (GGA-PBE)

Data for a relaxed structure of AcCd8Rh4.

- SG = No. 139

Lattice parameters (Å, degrees): 5.879 7.320 7.320 80.72 66.33 66.33
Positions (direct):
Ac1 0.000 0.000 0.000
Cd1 0.000 0.340 0.660
Cd2 0.000 0.660 0.340
Cd3 0.340 0.660 0.660
Cd4 0.660 0.340 0.340
Cd5 0.500 0.775 0.225
Cd6 0.500 0.225 0.775
Cd7 0.275 0.225 0.225
Cd8 0.725 0.775 0.775
Rh1 0.000 0.000 0.500
Rh2 0.500 0.000 0.500
Rh3 0.000 0.500 0.000
Rh4 0.500 0.500 0.000


| no. | formation energy (eV per atom) |
| --- | --- |
| 1 | -0.4485 |
| 2 | -0.2906 |
| 3 | 0.0223 |
| 4 | -0.2323 |